Entry 1:
This record from the Alexandria database describes a relaxed structure of BSe2IN. The functional is GGA-PBE.

CIF file:
```
data_BSe2IN
_chemical_formula_sum 'B1 Se2 I1 N1'
_symmetry_space_group_name_H-M 'P 1'
_symmetry_Int_Tables_number 1
_symmetry_space_group_name_Hall 'P 1'
_cell_length_a 5.519
_cell_length_b 5.519
_cell_length_c 3.966
_cell_angle_alpha 90.00
_cell_angle_beta 90.00
_cell_angle_gamma 90.00
loop_
_atom_site_label
_atom_site_type_symbol
_atom_site_fract_x
_atom_site_fract_y
_atom_site_fract_z
B1 B 0.000 0.000 0.000
Se1 Se 0.000 0.500 0.500
Se2 Se 0.500 0.000 0.500
I1 I 0.500 0.500 0.500
N1 N 0.500 0.500 0.000
```

Summary:
Magnetization = 0.96 μB/cell
Calculated total energy = -12.96 eV per formula unit
Energy relative to the elements, uncorrected = 2112 meV per atom
N(E_F) = 5.197 states/eV/f.u.

Entry 2:
This record from the Alexandria database describes a relaxed structure of TbPr5Er6. The functional is GGA-PBE.

CIF file:
```
data_TbPr5Er6
_chemical_formula_sum 'Tb1 Pr5 Er6'
_symmetry_space_group_name_H-M 'P 1'
_symmetry_Int_Tables_number 1
_symmetry_space_group_name_Hall 'P 1'
_cell_length_a 9.519
_cell_length_b 9.519
_cell_length_c 9.519
_cell_angle_alpha 148.76
_cell_angle_beta 116.35
_cell_angle_gamma 72.61
loop_
_atom_site_label
_atom_site_type_symbol
_atom_site_fract_x
_atom_site_fract_y
_atom_site_fract_z
Tb1 Tb 0.000 0.000 0.000
Pr1 Pr 0.165 0.665 0.500
Pr2 Pr 0.333 0.333 0.000
Pr3 Pr 0.500 0.000 0.500
Pr4 Pr 0.667 0.667 0.000
Pr5 Pr 0.835 0.335 0.500
Er1 Er 0.083 0.834 0.249
Er2 Er 0.248 0.500 0.748
Er3 Er 0.415 0.166 0.249
Er4 Er 0.585 0.834 0.751
Er5 Er 0.752 0.500 0.252
Er6 Er 0.917 0.166 0.751
```

Summary:
Magnetization = 0.00 μB/cell
Calculated total energy = -55.66 eV per formula unit
N(E_F) = 16.289 states/eV/f.u.
Energy of formation from the pure elements = 21 meV per atom

Entry 3:
This record from the Alexandria database describes a relaxed structure of Pr2HgIr. The functional is GGA-PBE.

CIF file:
```
data_Pr2HgIr
_chemical_formula_sum 'Pr2 Hg1 Ir1'
_symmetry_space_group_name_H-M 'P 1'
_symmetry_Int_Tables_number 1
_symmetry_space_group_name_Hall 'P 1'
_cell_length_a 5.244
_cell_length_b 5.244
_cell_length_c 5.244
_cell_angle_alpha 60.00
_cell_angle_beta 60.00
_cell_angle_gamma 60.00
loop_
_atom_site_label
_atom_site_type_symbol
_atom_site_fract_x
_atom_site_fract_y
_atom_site_fract_z
Pr1 Pr 0.250 0.250 0.250
Pr2 Pr 0.750 0.750 0.750
Hg1 Hg 0.000 0.000 0.000
Ir1 Ir 0.500 0.500 0.500
```

Summary:
Magnetization = 0.00 μB/cell
Calculated total energy = -20.59 eV per formula unit
N(E_F) = 2.090 states/eV/f.u.
Energy of formation from the pure elements = -467 meV per atom

Entry 4:
This record from the Alexandria database describes a relaxed structure of DyErTlAg. The functional is GGA-PBE.

CIF file:
```
data_DyErTlAg
_chemical_formula_sum 'Dy1 Er1 Tl1 Ag1'
_symmetry_space_group_name_H-M 'P 1'
_symmetry_Int_Tables_number 1
_symmetry_space_group_name_Hall 'P 1'
_cell_length_a 5.241
_cell_length_b 5.241
_cell_length_c 5.241
_cell_angle_alpha 60.00
_cell_angle_beta 60.00
_cell_angle_gamma 60.00
loop_
_atom_site_label
_atom_site_type_symbol
_atom_site_fract_x
_atom_site_fract_y
_atom_site_fract_z
Dy1 Dy 0.000 0.000 0.000
Er1 Er 0.500 0.500 0.500
Tl1 Tl 0.250 0.250 0.250
Ag1 Ag 0.750 0.750 0.750
```

Summary:
Magnetization = 0.00 μB/cell
Calculated total energy = -15.73 eV per formula unit
N(E_F) = 2.924 states/eV/f.u.
Energy of formation from the pure elements = -336 meV per atom

Entry 5:
This record from the Alexandria database describes a relaxed structure of ZrTlZnGa2. The functional is GGA-PBE.

CIF file:
```
data_ZrTlZnGa2
_chemical_formula_sum 'Zr1 Tl1 Zn1 Ga2'
_symmetry_space_group_name_H-M 'P 1'
_symmetry_Int_Tables_number 1
_symmetry_space_group_name_Hall 'P 1'
_cell_length_a 5.309
_cell_length_b 5.309
_cell_length_c 5.371
_cell_angle_alpha 90.00
_cell_angle_beta 90.00
_cell_angle_gamma 90.00
loop_
_atom_site_label
_atom_site_type_symbol
_atom_site_fract_x
_atom_site_fract_y
_atom_site_fract_z
Zr1 Zr 0.000 0.000 0.000
Tl1 Tl 0.500 0.500 0.500
Zn1 Zn 0.000 0.000 0.500
Ga1 Ga 0.000 0.500 0.000
Ga2 Ga 0.500 0.000 0.000
```

Summary:
Magnetization = 0.13 μB/cell
Calculated total energy = -15.65 eV per formula unit
N(E_F) = 4.579 states/eV/f.u.
Energy of formation from the pure elements = 519 meV per atom

Entry 6:
This record from the Alexandria database describes a relaxed structure of SbPRhS2. The functional is GGA-PBE.

CIF file:
```
data_SbPRhS2
_chemical_formula_sum 'Sb1 P1 Rh1 S2'
_symmetry_space_group_name_H-M 'P 1'
_symmetry_Int_Tables_number 1
_symmetry_space_group_name_Hall 'P 1'
_cell_length_a 4.915
_cell_length_b 4.915
_cell_length_c 5.042
_cell_angle_alpha 90.00
_cell_angle_beta 90.00
_cell_angle_gamma 90.00
loop_
_atom_site_label
_atom_site_type_symbol
_atom_site_fract_x
_atom_site_fract_y
_atom_site_fract_z
Sb1 Sb 0.000 0.000 0.000
P1 P 0.000 0.000 0.500
Rh1 Rh 0.500 0.500 0.500
S1 S 0.000 0.500 0.000
S2 S 0.500 0.000 0.000
```

Summary:
Magnetization = 2.15 μB/cell
Calculated total energy = -18.94 eV per formula unit
Energy relative to the elements, uncorrected = 1240 meV per atom
N(E_F) = 6.100 states/eV/f.u.

Entry 7:
This record from the Alexandria database describes a relaxed structure of Ca5NbN4F2. The functional is GGA-PBE.

CIF file:
```
data_Ca5NbN4F2
_chemical_formula_sum 'Ca5 Nb1 N4 F2'
_symmetry_space_group_name_H-M 'P 1'
_symmetry_Int_Tables_number 1
_symmetry_space_group_name_Hall 'P 1'
_cell_length_a 7.018
_cell_length_b 5.675
_cell_length_c 5.675
_cell_angle_alpha 118.14
_cell_angle_beta 90.00
_cell_angle_gamma 90.00
loop_
_atom_site_label
_atom_site_type_symbol
_atom_site_fract_x
_atom_site_fract_y
_atom_site_fract_z
Ca1 Ca 0.000 0.000 0.000
Ca2 Ca 0.273 0.317 0.669
Ca3 Ca 0.273 0.669 0.317
Ca4 Ca 0.727 0.317 0.669
Ca5 Ca 0.727 0.669 0.317
Nb1 Nb 0.500 0.004 0.004
N1 N 0.276 0.208 0.208
N2 N 0.500 0.639 0.975
N3 N 0.500 0.975 0.639
N4 N 0.724 0.208 0.208
F1 F 0.000 0.040 0.598
F2 F 0.000 0.598 0.040
```

Summary:
Magnetization = 0.97 μB/cell
Calculated total energy = -77.38 eV per formula unit
Energy relative to the elements, uncorrected = -1688 meV per atom
N(E_F) = 1.298 states/eV/f.u.

Entry 8:
This record from the Alexandria database describes a relaxed structure of ZnS3. The functional is GGA-PBE.

CIF file:
```
data_ZnS3
_chemical_formula_sum 'Zn2 S6'
_symmetry_space_group_name_H-M 'P 1'
_symmetry_Int_Tables_number 1
_symmetry_space_group_name_Hall 'P 1'
_cell_length_a 4.057
_cell_length_b 4.070
_cell_length_c 13.497
_cell_angle_alpha 81.37
_cell_angle_beta 83.78
_cell_angle_gamma 89.00
loop_
_atom_site_label
_atom_site_type_symbol
_atom_site_fract_x
_atom_site_fract_y
_atom_site_fract_z
Zn1 Zn 0.250 0.250 0.000
Zn2 Zn 0.750 0.750 0.000
S1 S 0.128 0.783 0.601
S2 S 0.203 0.881 0.400
S3 S 0.215 0.701 0.099
S4 S 0.785 0.299 0.901
S5 S 0.797 0.119 0.600
S6 S 0.872 0.217 0.399
```

Summary:
Magnetization = 0.00 μB/cell
Calculated total energy = -14.39 eV per formula unit
Energy relative to the elements, uncorrected = -182 meV per atom
N(E_F) = 0.308 states/eV/f.u.

Entry 9:
This record from the Alexandria database describes a relaxed structure of MgCl3O. The functional is GGA-PBE.

CIF file:
```
data_MgCl3O
_chemical_formula_sum 'Mg1 Cl3 O1'
_symmetry_space_group_name_H-M 'P 1'
_symmetry_Int_Tables_number 1
_symmetry_space_group_name_Hall 'P 1'
_cell_length_a 4.528
_cell_length_b 4.528
_cell_length_c 4.528
_cell_angle_alpha 90.00
_cell_angle_beta 90.00
_cell_angle_gamma 90.00
loop_
_atom_site_label
_atom_site_type_symbol
_atom_site_fract_x
_atom_site_fract_y
_atom_site_fract_z
Mg1 Mg 0.000 0.000 0.000
Cl1 Cl 0.000 0.500 0.500
Cl2 Cl 0.500 0.000 0.500
Cl3 Cl 0.500 0.500 0.000
O1 O 0.500 0.500 0.500
```

Summary:
Magnetization = 0.00 μB/cell
Calculated total energy = -12.25 eV per formula unit
Energy relative to the elements, uncorrected = -32 meV per atom
N(E_F) = 1.547 states/eV/f.u.

Entry 10:
This record from the Alexandria database describes a relaxed structure of ScBeNiRu. The functional is GGA-PBE.

CIF file:
```
data_ScBeNiRu
_chemical_formula_sum 'Sc1 Be1 Ni1 Ru1'
_symmetry_space_group_name_H-M 'P 1'
_symmetry_Int_Tables_number 1
_symmetry_space_group_name_Hall 'P 1'
_cell_length_a 4.211
_cell_length_b 4.211
_cell_length_c 4.211
_cell_angle_alpha 60.00
_cell_angle_beta 60.00
_cell_angle_gamma 60.00
loop_
_atom_site_label
_atom_site_type_symbol
_atom_site_fract_x
_atom_site_fract_y
_atom_site_fract_z
Sc1 Sc 0.000 0.000 0.000
Be1 Be 0.500 0.500 0.500
Ni1 Ni 0.750 0.750 0.750
Ru1 Ru 0.250 0.250 0.250
```

Summary:
Magnetization = 0.00 μB/cell
Calculated total energy = -26.21 eV per formula unit
N(E_F) = 2.783 states/eV/f.u.
Energy of formation from the pure elements = -274 meV per atom

Entry 11:
This record from the Alexandria database describes a relaxed structure of In2PtRh. The functional is GGA-PBE.

CIF file:
```
data_In2PtRh
_chemical_formula_sum 'In2 Pt1 Rh1'
_symmetry_space_group_name_H-M 'P 1'
_symmetry_Int_Tables_number 1
_symmetry_space_group_name_Hall 'P 1'
_cell_length_a 5.280
_cell_length_b 5.280
_cell_length_c 4.641
_cell_angle_alpha 104.56
_cell_angle_beta 104.56
_cell_angle_gamma 35.03
loop_
_atom_site_label
_atom_site_type_symbol
_atom_site_fract_x
_atom_site_fract_y
_atom_site_fract_z
In1 In 0.000 0.000 0.000
In2 In 0.237 0.237 0.604
Pt1 Pt 0.495 0.495 0.496
Rh1 Rh 0.738 0.738 0.101
```

Summary:
Magnetization = 0.00 μB/cell
Calculated total energy = -20.30 eV per formula unit
N(E_F) = 1.535 states/eV/f.u.
Energy of formation from the pure elements = -357 meV per atom

Entry 12:
This record from the Alexandria database describes a relaxed structure of Sr2SbAu7. The functional is GGA-PBE.

CIF file:
```
data_Sr2SbAu7
_chemical_formula_sum 'Sr2 Sb1 Au7'
_symmetry_space_group_name_H-M 'P 1'
_symmetry_Int_Tables_number 1
_symmetry_space_group_name_Hall 'P 1'
_cell_length_a 4.293
_cell_length_b 4.293
_cell_length_c 12.987
_cell_angle_alpha 90.00
_cell_angle_beta 90.00
_cell_angle_gamma 90.00
loop_
_atom_site_label
_atom_site_type_symbol
_atom_site_fract_x
_atom_site_fract_y
_atom_site_fract_z
Sr1 Sr 0.000 0.500 0.239
Sr2 Sr 0.500 0.000 0.761
Sb1 Sb 0.000 0.000 0.500
Au1 Au 0.000 0.000 0.000
Au2 Au 0.000 0.500 0.651
Au3 Au 0.000 0.500 0.857
Au4 Au 0.500 0.000 0.143
Au5 Au 0.500 0.000 0.349
Au6 Au 0.500 0.500 0.000
Au7 Au 0.500 0.500 0.500
```

Summary:
Magnetization = 0.00 μB/cell
Calculated total energy = -35.14 eV per formula unit
Energy relative to the elements, uncorrected = -472 meV per atom
N(E_F) = 3.190 states/eV/f.u.